Entry from Alexandria: a relaxed CeGeC crystal (PBE).

abc: 7.378 7.378 4.002
angles: 90.00 90.00 150.55
Atoms (fractional coordinates):
Ce (0.159, 0.841, 0.750)
Ce (0.841, 0.159, 0.250)
Ge (0.456, 0.544, 0.750)
Ge (0.544, 0.456, 0.250)
C (0.322, 0.678, 0.750)
C (0.678, 0.322, 0.250)

Results
- SG: Cmcm, No. 63
- ΔH_f (0 K): -0.165 eV per atom
- Crystal system: orthorhombic



Entry from Alexandria: a relaxed InSb4Pb crystal (PBE).

abc: 6.360 6.360 6.360
angles: 60.00 60.00 60.00
Atoms (fractional coordinates):
In (0.000, 0.000, 0.000)
Sb (0.375, 0.375, 0.375)
Sb (0.375, 0.375, 0.875)
Sb (0.375, 0.875, 0.375)
Sb (0.875, 0.375, 0.375)
Pb (0.750, 0.750, 0.750)

Results
- SG: F-43m, No. 216
- Formation energy (no corrections): 0.18 eV per atom
- Crystal system: cubic



Entry from Alexandria: a relaxed Cs3LiW crystal (PBE).

abc: 7.143 7.143 7.143
angles: 90.00 90.00 90.00
Atoms (fractional coordinates):
Cs (0.000, 0.000, 0.500)
Cs (0.000, 0.500, 0.000)
Cs (0.500, 0.000, 0.000)
Li (0.000, 0.000, 0.000)
W (0.500, 0.500, 0.500)

Results
- SG: Pm-3m, No. 221
- ΔH_f (0 K): 1.508 eV per atom
- Crystal system: cubic



Entry from Alexandria: a relaxed Pm3Pr7Nd2 crystal (PBE).

abc: 6.044 3.669 19.494
angles: 90.00 93.26 90.00
Atoms (fractional coordinates):
Pm (0.000, 0.000, 0.000)
Pm (0.283, 0.500, 0.632)
Pm (0.717, 0.500, 0.368)
Pr (0.180, 0.500, 0.144)
Pr (0.243, 0.000, 0.464)
Pr (0.317, 0.000, 0.821)
Pr (0.500, 0.500, 0.000)
Pr (0.683, 0.000, 0.179)
Pr (0.757, 0.000, 0.536)
Pr (0.820, 0.500, 0.856)
Nd (0.207, 0.000, 0.296)
Nd (0.793, 0.000, 0.704)

Results
- SG: P2/m, No. 10
- ΔH_f (0 K): 0.083 eV per atom
- Crystal system: monoclinic



| no. | Fermi-level density of states (states/eV per cell) |
| --- | --- |
| 1 | 4.7 |
| 2 | 2.9 |
| 3 | 4.7 |
| 4 | 17.4 |